Entry from the Alexandria database: an optimized crystal structure of Li6SiAu2 (PBE-GGA).

Cell lengths 7.4467, 7.4467, 2.7684 Å; angles 90.00, 90.00, 120.00 degrees
Space group P6/mmm (No. 191)
Unique sites:
Li 0.0000 0.3271 0.0000
Si 0.0000 0.0000 0.5000
Au 0.3333 0.6667 0.5000

E_tot = -26.80 eV per formula unit
DOS at the Fermi energy = 0.276 states/eV/atom



Entry from the Alexandria database: an optimized crystal structure of LiSiAu2 (PBE-GGA).

Cell lengths 3.0286, 3.9287, 5.3328 Å; angles 90.00, 90.00, 90.00 degrees
Space group Pmm2 (No. 25)
Unique sites:
Li 0.0000 0.0000 0.0000
Si 0.5000 0.5000 0.2959
Au 0.0000 0.0000 0.4795
Au 0.5000 0.5000 0.8147

E_tot = -14.82 eV per formula unit
DOS at the Fermi energy = 0.227 states/eV/atom



Entry from the Alexandria database: an optimized crystal structure of LiSiAu (PBE-GGA).

Cell lengths 2.8259, 2.8259, 11.7630 Å; angles 90.00, 90.00, 90.00 degrees
Space group I4mm (No. 107)
Unique sites:
Li 0.0000 0.0000 0.0000
Si 0.0000 0.0000 0.6616
Au 0.0000 0.0000 0.3275

E_tot = -10.92 eV per formula unit
DOS at the Fermi energy = 0.358 states/eV/atom



Entry from the Alexandria database: an optimized crystal structure of Li6SiAu12 (PBE-GGA).

Cell lengths 9.8115, 9.8115, 11.4372 Å; angles 90.00, 90.00, 120.00 degrees
Space group R-3 (No. 148, hexagonal axes)
Unique sites:
Li 0.0185 0.5946 0.2112
Si 0.0000 0.0000 0.5000
Au 0.0284 0.8422 0.3324
Au 0.0571 0.2085 0.9054

E_tot = -62.78 eV per formula unit
DOS at the Fermi energy = 0.162 states/eV/atom



| no. | formation energy without anion corrections (eV/atom) | magnetic moment (μB/f.u.) |
| --- | --- | --- |
| 1 | -0.37 | 0.000 |
| 2 | -0.23 | 0.000 |
| 3 | -0.10 | 0.000 |
| 4 | -0.34 | 0.000 |